No. 1
Eu2SiCl, relaxed, DFT PBE; E_form (uncorrected) = -1.03 eV per atom; SG = P4/mmm; energy above the lowest structure with this stoichiometry = 0.047 eV/atom
1.0
3.561 0.000 0.000
0.000 3.561 0.000
0.000 0.000 8.029
Eu Si Cl
2 1 1
Direct
0.000 0.000 0.231
0.000 0.000 0.769
0.500 0.500 0.000
0.500 0.500 0.500


No. 2
AcNi5Sb3, relaxed, DFT PBE; E_form (uncorrected) = -0.41 eV per atom; SG = Cmcm
1.0
2.060 -6.422 0.000
2.060 6.422 0.000
0.000 0.000 12.494
Ac Ni Sb
2 10 6
Direct
0.189 0.811 0.750
0.811 0.189 0.250
0.000 0.000 0.000
0.000 0.000 0.500
0.182 0.818 0.075
0.182 0.818 0.425
0.465 0.535 0.646
0.465 0.535 0.854
0.535 0.465 0.146
0.535 0.465 0.354
0.818 0.182 0.575
0.818 0.182 0.925
0.087 0.913 0.250
0.371 0.629 0.035
0.371 0.629 0.465
0.629 0.371 0.535
0.629 0.371 0.965
0.913 0.087 0.750


No. 3
Ac3Cd2Ni2P4, relaxed, DFT PBE; formation enthalpy at 0 K = -0.82 eV/atom; SG = P-3m1
1.0
4.213 0.000 0.000
-2.107 3.649 0.000
0.000 0.000 16.151
Ac Cd Ni P
3 2 2 4
Direct
0.000 0.000 0.000
0.000 0.000 0.255
0.000 0.000 0.745
0.333 0.667 0.562
0.667 0.333 0.438
0.333 0.667 0.133
0.667 0.333 0.867
0.333 0.667 0.383
0.333 0.667 0.869
0.667 0.333 0.131
0.667 0.333 0.617


No. 4
YHo3Hg6, relaxed, DFT PBE; formation enthalpy at 0 K = -0.43 eV/atom; SG = P2_1/m
1.0
9.140 0.000 0.000
0.000 5.141 0.000
-3.166 0.000 10.615
Y Ho Hg
2 6 12
Direct
0.062 0.250 0.390
0.938 0.750 0.610
0.230 0.250 0.007
0.353 0.750 0.800
0.483 0.250 0.612
0.517 0.750 0.388
0.647 0.250 0.200
0.770 0.750 0.993
0.064 0.750 0.899
0.140 0.750 0.201
0.164 0.250 0.690
0.246 0.750 0.512
0.351 0.250 0.298
0.464 0.750 0.091
0.536 0.250 0.909
0.649 0.750 0.702
0.754 0.250 0.488
0.836 0.750 0.310
0.860 0.250 0.799
0.936 0.250 0.101


No. 5
CaAcGaCo, relaxed, DFT PBE; formation enthalpy at 0 K = -0.22 eV/atom; SG = R3m
1.0
4.204 0.000 0.000
-2.102 3.641 0.000
0.000 0.000 22.992
Ca Ac Ga Co
3 3 3 3
Direct
0.000 0.000 0.000
0.333 0.667 0.667
0.667 0.333 0.333
0.000 0.000 0.829
0.333 0.667 0.495
0.667 0.333 0.162
0.000 0.000 0.587
0.333 0.667 0.254
0.667 0.333 0.920
0.000 0.000 0.242
0.333 0.667 0.909
0.667 0.333 0.576


No. 6
Er8CoCu2, relaxed, DFT PBE; formation enthalpy at 0 K = -0.13 eV/atom; SG = C2/m; energy above the lowest structure with this stoichiometry = 0.000 eV/atom
1.0
8.467 -2.521 0.000
8.467 2.521 0.000
-1.872 0.000 6.289
Er Co Cu
8 1 2
Direct
0.032 0.032 0.292
0.200 0.200 0.821
0.336 0.336 0.526
0.410 0.410 0.064
0.590 0.590 0.936
0.664 0.664 0.474
0.800 0.800 0.179
0.968 0.968 0.708
0.500 0.500 0.500
0.186 0.186 0.223
0.814 0.814 0.777


Final energy for every record listed, in sequence, given in eV/atom: -7.98; -5.45; -5.12; -2.63; -4.28; -4.83.
Spin magnetization for every record listed, in sequence, given in μB per atom: 3.564; 0.000; 0.000; 0.000; 0.000; 0.000.